Compound: Pm5In2Sn5
Source: the Alexandria database
Functional: GGA-PBE
Structure: relaxed

Cell: 4.654 8.551 11.590 Å, 127.30 90.00 105.79°
Sites, in units of the cell vectors:
Sn 0.070 0.141 0.349
Sn 0.761 0.522 0.819
Sn 0.000 0.000 0.000
Sn 0.239 0.478 0.181
Sn 0.930 0.859 0.651
In 0.138 0.277 0.751
In 0.862 0.723 0.249
Pm 0.500 0.000 0.500
Pm 0.699 0.398 0.332
Pm 0.301 0.602 0.668
Pm 0.605 0.210 0.923
Pm 0.395 0.790 0.077

Output
SG = No. 12
density of states at the Fermi level = 5.7 states/eV per cell
E_tot = -56.37 eV for the cell shown

Compound: K3CaPt
Source: the Alexandria database
Functional: GGA-PBE
Structure: relaxed

Cell: 6.865 6.865 6.865 Å, 90.00 90.00 90.00°
Each line ends with the local moment (μB).
Sites, in units of the cell vectors:
Ca 0.000 0.000 0.000  0.08
K 0.500 0.000 0.000  0.02
K 0.000 0.500 0.000  0.02
K 0.000 0.000 0.500  0.01
Pt 0.500 0.500 0.500  -0.04

Output
SG = No. 221
density of states at the Fermi level = 7.5 states/eV per cell
E_tot = -6.02 eV for the cell shown

Compound: LiLa14Mg
Source: the Alexandria database
Functional: GGA-PBE
Structure: relaxed

Cell: 7.329 7.329 10.436 Å, 90.00 90.00 90.00°
Sites, in units of the cell vectors:
La 0.124 0.124 0.253
La 0.626 0.124 0.253
La 0.375 0.875 0.000
La 0.375 0.875 0.500
La 0.626 0.626 0.747
La 0.375 0.375 0.000
La 0.626 0.124 0.747
La 0.875 0.875 0.000
La 0.875 0.375 0.500
La 0.124 0.124 0.747
La 0.875 0.375 0.000
La 0.124 0.626 0.747
La 0.124 0.626 0.253
La 0.626 0.626 0.253
Mg 0.875 0.875 0.500
Li 0.375 0.375 0.500

Output
SG = No. 123
density of states at the Fermi level = 25.7 states/eV per cell
E_tot = -72.02 eV for the cell shown

Compound: Pr6Nd2SmDy3
Source: the Alexandria database
Functional: GGA-PBE
Structure: relaxed

Cell: 6.357 6.357 12.050 Å, 95.04 95.04 120.02°
Sites, in units of the cell vectors:
Nd 0.667 0.333 0.000
Nd 0.333 0.667 0.000
Dy 0.833 0.167 0.500
Dy 0.500 0.500 0.500
Dy 0.167 0.833 0.500
Pr 0.583 0.916 0.747
Pr 0.751 0.751 0.254
Pr 0.084 0.417 0.253
Pr 0.417 0.084 0.253
Pr 0.249 0.249 0.746
Pr 0.916 0.583 0.747
Sm 0.000 0.000 0.000

Output
SG = No. 12
density of states at the Fermi level = 15.8 states/eV per cell
E_tot = -56.58 eV for the cell shown

Compound: LiZnPO4
Source: the Alexandria database
Functional: GGA-PBE
Structure: relaxed

Cell: 5.048 6.776 10.174 Å, 90.00 90.00 90.00°
Sites, in units of the cell vectors:
O 0.884 0.961 0.884
O 0.761 0.466 0.447
O 0.305 0.151 0.838
O 0.806 0.273 0.660
O 0.116 0.461 0.116
O 0.306 0.773 0.840
O 0.695 0.651 0.162
O 0.805 0.651 0.662
O 0.239 0.966 0.553
O 0.195 0.151 0.338
O 0.194 0.773 0.340
O 0.694 0.273 0.160
O 0.739 0.466 0.947
O 0.261 0.966 0.053
O 0.384 0.461 0.616
O 0.616 0.961 0.384
P 0.190 0.963 0.904
P 0.690 0.463 0.596
P 0.310 0.963 0.404
P 0.810 0.463 0.096
Li 0.810 0.213 0.346
Li 0.190 0.713 0.654
Li 0.690 0.213 0.846
Li 0.310 0.713 0.154
Zn 0.191 0.213 0.654
Zn 0.309 0.213 0.154
Zn 0.809 0.713 0.346
Zn 0.691 0.713 0.846

Output
SG = No. 33
energy relative to the elements, uncorrected = -2.144 eV/atom
density of states at the Fermi level = 0.0 states/eV per cell
E_tot = -173.75 eV for the cell shown

Compound: Dy2MnIr
Source: the Alexandria database
Functional: GGA-PBE
Structure: relaxed

Cell: 3.831 3.831 9.799 Å, 78.73 78.73 60.00°
Each line ends with the local moment (μB).
Sites, in units of the cell vectors:
Ir 0.500 0.500 0.500  0.02
Mn 0.000 0.000 0.000  4.25
Dy 0.889 0.889 0.332  -0.06
Dy 0.111 0.111 0.668  -0.06

Output
SG = No. 166
density of states at the Fermi level = 3.8 states/eV per cell
E_tot = -26.25 eV for the cell shown